No. 1
TiWOF2, optimized geometry, DFT PBE with a Hubbard U; SG = No. 123; DOS(E_F) = 0.495 states/eV/atom; theoretical density = 6.8 g/cm³; DFT total energy = -31.4 eV for the cell shown
1.0
4.175 0.000 0.000
0.000 4.175 0.000
0.000 0.000 4.008
Ti W O F
1 1 1 2
direct
0.000 0.000 0.000 Ti
0.500 0.500 0.500 W
0.000 0.000 0.500 O
0.000 0.500 0.000 F
0.500 0.000 0.000 F

***

No. 2
TiWOF2, optimized geometry, DFT PBE with a Hubbard U; SG = No. 123; DOS(E_F) = 0.547 states/eV/atom; theoretical density = 6.1 g/cm³; DFT total energy = -29.7 eV for the cell shown
1.0
4.274 0.000 0.000
0.000 4.274 0.000
0.000 0.000 4.239
Ti W O F
1 1 1 2
direct
0.000 0.000 0.000 Ti
0.500 0.500 0.500 W
0.500 0.500 0.000 O
0.000 0.500 0.500 F
0.500 0.000 0.500 F

***

> The highest DOS(E_F) belongs to which entry?

number 2